Entry P
First-principles (PBE-GGA) data for a relaxed NaMn2Ru crystal, as listed in the Alexandria database.

Cell: 4.2106 4.2106 4.2106 Å, 60.00 60.00 60.00°
Atoms (fractional coordinates):
Mn 0.7500 0.7500 0.7500
Ru 0.5000 0.5000 0.5000
Mn 0.2500 0.2500 0.2500
Na 0.0000 0.0000 0.0000

Output
As for the magnetization: 0.00 μB per formula unit. As for the space-group type: Fm-3m (225). The value obtained for the density of states at the Fermi level is 1.562 states/eV/atom.

Entry Q
First-principles (PBE-GGA) data for a relaxed NaMn2Ru crystal, as listed in the Alexandria database.

Cell: 7.1780 7.1780 5.8403 Å, 52.08 52.08 90.00°
Last column: magnetic moment on the atom in μB.
Atoms (fractional coordinates):
Ru 0.0000 0.0000 0.0000  -0.04
Mn 0.6712 0.1250 0.2500  3.66
Na 0.5000 0.5000 0.0000  -0.01
Na 0.2500 0.7500 0.5000  -0.01
Mn 0.0788 0.6250 0.2500  3.64
Mn 0.3750 0.3288 0.7500  3.69
Mn 0.8750 0.9212 0.7500  3.67
Ru 0.7500 0.2500 0.5000  -0.03

Output
As for the magnetization: 7.76 μB per formula unit. As for the space-group type: I-42d (122). The value obtained for the density of states at the Fermi level is 1.221 states/eV/atom.

Which is less stable than every other structure shown? entry Q is.